{
  "formula": "CoHSO4",
  "functional": "PBE+U",
  "state": "relaxed",
  "final_energy_ev_per_atom": -5.484,
  "cell": [[3.3435, -3.9994, 0.0000], [3.3435, 3.9994, 0.0000], [-2.5515, 0.0000, 5.7972]],
  "species": ["Co", "Co", "H", "H", "S", "S", "O", "O", "O", "O", "O", "O", "O", "O"],
  "fractional_positions": [[0.0000, 0.0000, 0.0000], [0.0000, 0.0000, 0.5000], [0.0601, 0.9399, 0.7500], [0.9399, 0.0601, 0.2500], [0.3346, 0.6654, 0.2500], [0.6654, 0.3346, 0.7500], [0.1453, 0.6882, 0.3928], [0.2622, 0.3776, 0.0982], [0.3118, 0.8547, 0.1072], [0.3776, 0.2622, 0.5982], [0.6224, 0.7378, 0.4018], [0.6882, 0.1453, 0.8928], [0.7378, 0.6224, 0.9018], [0.8547, 0.3118, 0.6072]]
}